# 1
A plane-wave DFT calculation with PBE-GGA was carried out for crystalline Rb2AlPbBr6 at its relaxed geometry.

```
Rb2AlPbBr6
1.0
-4.008 4.008 5.653
4.008 -4.008 5.653
4.008 4.008 -5.653
Rb Al Pb Br
2 1 1 6
Cartesian
4.008 0.000 2.826 Rb
0.000 4.008 2.826 Rb
0.000 0.000 0.000 Al
0.000 0.000 5.653 Pb
0.000 0.000 2.622 Br
1.865 1.865 0.000 Br
2.143 -2.143 5.653 Br
-2.143 2.143 5.653 Br
2.143 2.143 5.653 Br
0.000 0.000 8.684 Br
```

Summary:
* ΔE_f (raw): -11.9 eV per formula unit
* crystal system: tetragonal
* calculated volume: 36.3 Å³ per atom
* DOS at the Fermi energy: 0.343 states/eV per atom
* final energy: -31.3 eV/cell
* SG: I4/mmm

***

# 2
A plane-wave DFT calculation with PBE-GGA was carried out for crystalline RbAlPb2Br8 at its relaxed geometry.

```
RbAlPb2Br8
1.0
6.688 0.000 0.000
0.237 7.019 0.000
0.047 0.007 9.202
Rb Al Pb Br
1 1 2 8
Cartesian
0.000 0.000 0.000 Rb
0.023 0.003 4.601 Al
3.468 3.513 2.405 Pb
3.504 3.513 6.797 Pb
1.552 2.138 4.606 Br
1.728 6.012 6.380 Br
1.726 6.024 2.807 Br
1.885 2.691 0.008 Br
5.087 4.335 9.193 Br
5.246 1.002 6.395 Br
5.244 1.014 2.822 Br
5.420 4.888 4.595 Br
```

Summary:
* ΔE_f (raw): -12.5 eV per formula unit
* crystal system: triclinic
* calculated volume: 36.0 Å³ per atom
* DOS at the Fermi energy: 0.000 states/eV per atom
* final energy: -38.0 eV/cell
* SG: P-1

***

# 3
A plane-wave DFT calculation with PBE-GGA was carried out for crystalline RbAl2PbBr8 at its relaxed geometry.

```
RbAl2PbBr8
1.0
3.507 2.025 10.883
-3.507 2.025 10.883
0.000 -4.049 10.883
Rb Al Pb Br
1 2 1 8
Cartesian
0.000 0.000 0.000 Rb
0.000 0.000 8.406 Al
0.000 0.000 24.243 Al
0.000 0.000 16.325 Pb
-2.541 -0.033 14.117 Br
-1.242 -2.217 18.533 Br
0.000 0.000 10.731 Br
1.299 -2.184 14.117 Br
-1.299 2.184 18.533 Br
0.000 0.000 21.918 Br
1.242 2.217 14.117 Br
2.541 0.033 18.533 Br
```

Summary:
* ΔE_f (raw): -12.8 eV per formula unit
* crystal system: trigonal
* calculated volume: 38.6 Å³ per atom
* DOS at the Fermi energy: 0.563 states/eV per atom
* final energy: -38.4 eV/cell
* SG: R-3

***

# 4
A plane-wave DFT calculation with PBE-GGA was carried out for crystalline AlPbSe2Br at its relaxed geometry.

```
AlPbSe2Br
1.0
5.433 0.000 0.000
0.000 5.433 0.000
0.000 0.000 5.842
Al Pb Se Br
1 1 2 1
Cartesian
0.000 0.000 0.000 Al
2.717 2.717 2.921 Pb
0.000 2.717 2.921 Se
2.717 0.000 2.921 Se
2.717 2.717 0.000 Br
```

Summary:
* ΔE_f (raw): 1.1 eV per formula unit
* crystal system: tetragonal
* calculated volume: 34.5 Å³ per atom
* DOS at the Fermi energy: 0.188 states/eV per atom
* final energy: -15.0 eV/cell
* SG: P4/mmm